The following is a DFT calculation (PBE) of a relaxed structure of CdReSe2.

```
data_CdReSe2
_chemical_formula_sum 'Cd2 Re2 Se4'
_symmetry_space_group_name_H-M 'C m m m'
_symmetry_Int_Tables_number 65
_symmetry_space_group_name_Hall '-C 2 2'
_cell_length_a 3.0467
_cell_length_b 5.1228
_cell_length_c 10.6646
_cell_angle_alpha 90.00
_cell_angle_beta 90.00
_cell_angle_gamma 90.00
loop_
_atom_site_label
_atom_site_type_symbol
_atom_site_fract_x
_atom_site_fract_y
_atom_site_fract_z
_atom_site_occupancy
Cd1 Cd 0.0000 0.0000 0.0000 1
Re1 Re 0.0000 0.0000 0.5000 1
Se1 Se 0.0000 0.5000 0.3065 1
```

Properties
As for the uncorrected formation energy: 0.38 eV per atom. For the distance to the lowest polymorph of the same formula, the calculation gives 376.1 meV/atom. Its crystal system is orthorhombic. As for the energy: -4.70 eV/atom.

***

The following is a DFT calculation (PBE) of a relaxed structure of Li2Pm3Cd4.

```
data_Li2Pm3Cd4
_chemical_formula_sum 'Li4 Pm6 Cd8'
_symmetry_space_group_name_H-M 'C 1 2/m 1'
_symmetry_Int_Tables_number 12
_cell_length_a 10.9745
_cell_length_b 5.0759
_cell_length_c 9.4334
_cell_angle_alpha 90.00
_cell_angle_beta 122.23
_cell_angle_gamma 90.00
loop_
_symmetry_equiv_pos_as_xyz
'x,y,z'
'-x,-y,-z'
'-x,y,-z'
'x,-y,z'
'x+1/2,y+1/2,z'
'-x+1/2,-y+1/2,-z'
'-x+1/2,y+1/2,-z'
'x+1/2,-y+1/2,z'
loop_
_atom_site_label
_atom_site_type_symbol
_atom_site_fract_x
_atom_site_fract_y
_atom_site_fract_z
_atom_site_occupancy
Li1 Li 0.1142 0.0000 0.2817 1
Pm1 Pm 0.0000 0.5000 0.0000 1
Pm2 Pm 0.1648 0.0000 0.6674 1
Cd1 Cd 0.0618 0.5000 0.3890 1
Cd2 Cd 0.2187 0.0000 0.0595 1
```

Properties
The calculation puts the energy of formation at -24 kJ/mol of atoms. Its crystal system is monoclinic. As for the energy: -2.67 eV/atom.

***

The following is a DFT calculation (PBE) of a relaxed structure of Ac2CeSmN4.

```
data_Ac2CeSmN4
_chemical_formula_sum 'Ac2 Ce1 Sm1 N4'
_symmetry_space_group_name_H-M 'P 1 2/m 1'
_symmetry_Int_Tables_number 10
_cell_length_a 6.4149
_cell_length_b 3.7224
_cell_length_c 6.5144
_cell_angle_alpha 90.00
_cell_angle_beta 109.13
_cell_angle_gamma 90.00
loop_
_symmetry_equiv_pos_as_xyz
'x,y,z'
'-x,-y,-z'
'-x,y,-z'
'x,-y,z'
loop_
_atom_site_label
_atom_site_type_symbol
_atom_site_fract_x
_atom_site_fract_y
_atom_site_fract_z
_atom_site_occupancy
Ac1 Ac 0.0000 0.0000 0.0000 1
Ac2 Ac 0.5000 0.5000 0.0000 1
Ce1 Ce 0.0000 0.5000 0.5000 1
Sm1 Sm 0.5000 0.0000 0.5000 1
N1 N 0.2343 0.0000 0.7201 1
N2 N 0.2500 0.5000 0.2755 1
```

Properties
As for the uncorrected formation energy: -1.25 eV per atom. Its crystal system is monoclinic. As for the energy: -7.77 eV/atom.

***

The following is a DFT calculation (PBE) of a relaxed structure of Pr2PuCo2N6.

```
data_Pr2PuCo2N6
_chemical_formula_sum 'Pr6 Pu3 Co6 N18'
_symmetry_space_group_name_H-M 'R -3 m'
_symmetry_Int_Tables_number 166
_symmetry_space_group_name_Hall '-R 3 2"'
_cell_length_a 5.6787
_cell_length_b 5.6787
_cell_length_c 16.5433
_cell_angle_alpha 90.00
_cell_angle_beta 90.00
_cell_angle_gamma 120.00
loop_
_atom_site_label
_atom_site_type_symbol
_atom_site_fract_x
_atom_site_fract_y
_atom_site_fract_z
_atom_site_occupancy
Pr1 Pr 0.0000 0.0000 0.2150 1
Pu1 Pu 0.0000 0.0000 0.0000 1
Co1 Co 0.0000 0.0000 0.4047 1
N1 N 0.0139 0.5070 0.7557 1
```

Properties
As for the uncorrected formation energy: -0.48 eV per atom. Its crystal system is trigonal. As for the energy: -8.48 eV/atom.

***

Question: The highest energy belongs to which entry?
Answer: Li2Pm3Cd4